No. 1
DFT (PBE) results for a geometry-optimized Co2OsPbCl structure.

Cell lengths 4.8961, 4.8961, 5.2578 Å; angles 90.00, 90.00, 90.00 degrees
Closest atoms and distances in Å follow each position.
Space group P4/mmm (No. 123)
One atom of each set of equivalent atoms:
1 Co 0.0000 0.5000 0.0000  2 Pb 2.45
2 Os 0.0000 0.0000 0.5000  4 Cl 3.46, 8 Co 3.59
3 Pb 0.5000 0.5000 0.0000  4 Co 2.45, 2 Cl 2.63
4 Cl 0.5000 0.5000 0.5000  2 Pb 2.63

Raw formation energy, meV per atom: 2204
Size of the total moment, μB per atom: 1.35
Crystal system: tetragonal



No. 2
DFT (PBE) results for a geometry-optimized Pm8Co3OsCl4 structure.

Cell lengths 7.8930, 7.8930, 22.7021 Å; angles 90.00, 90.00, 120.00 degrees
Closest atoms and distances in Å follow each position.
Space group R-3m (No. 166, hexagonal axes)
One atom of each set of equivalent atoms:
1 Pm 0.0000 0.0000 0.2323  3 Co 2.72
2 Pm 0.0037 0.5019 0.7650  2 Co 2.75, 1 Os 2.78
3 Co 0.0000 0.5000 0.5000  6 Pm 2.72-2.75
4 Os 0.0000 0.0000 0.5000  6 Pm 2.78
5 Cl 0.0000 0.0000 0.0000  6 Pm 3.17
6 Cl 0.0000 0.5000 0.0000  6 Pm 3.20-3.23

Raw formation energy, meV per atom: -820
Size of the total moment, μB per atom: 0.00
Crystal system: trigonal



No. 3
DFT (PBE) results for a geometry-optimized Pm6CoOs2Cl3 structure.

Cell lengths 6.9011, 12.0278, 7.9356 Å; angles 90.00, 106.68, 90.00 degrees
Closest atoms and distances in Å follow each position.
Space group C2/m (No. 12)
One atom of each set of equivalent atoms:
1 Pm 0.2322 0.0000 0.1941  1 Co 2.72, 2 Os 2.81
2 Pm 0.2353 0.3379 0.2115  1 Co 2.77, 2 Os 2.79-2.82
3 Co 0.0000 0.5000 0.0000  6 Pm 2.72-2.77
4 Os 0.0000 0.1740 0.0000  6 Pm 2.79-2.82
5 Cl 0.0000 0.0000 0.5000  6 Pm 3.16-3.27
6 Cl 0.0000 0.3329 0.5000  6 Pm 3.16-3.28

Raw formation energy, meV per atom: -775
Size of the total moment, μB per atom: 0.00
Crystal system: monoclinic



No. 4
DFT (PBE) results for a geometry-optimized Pm4CoOsCl2 structure.

Cell lengths 6.8833, 3.9840, 7.9189 Å; angles 90.00, 106.81, 90.00 degrees
Closest atoms and distances in Å follow each position.
Space group P2/m (No. 10)
One atom of each set of equivalent atoms:
1 Pm 0.2307 0.0000 0.2025  2 Co 2.75, 1 Os 2.78
2 Pm 0.2609 0.5000 0.7921  1 Co 2.77, 2 Os 2.80
3 Co 0.0000 0.5000 0.0000  6 Pm 2.75-2.77
4 Os 0.5000 0.0000 0.0000  6 Pm 2.78-2.80
5 Cl 0.0000 0.0000 0.5000  6 Pm 3.18-3.20
6 Cl 0.5000 0.5000 0.5000  6 Pm 3.20-3.23

Raw formation energy, meV per atom: -790
Size of the total moment, μB per atom: 0.00
Crystal system: monoclinic